Entry from Alexandria: an optimized crystal structure of Pr2VF8 (PBE+U).

Computed properties:
- Uncorrected energy: -6.5071 eV/atom

The structure in extended XYZ format:
```
11
Lattice="3.6028 0.0000 -0.9059 -0.1833 6.0750 -0.7289 -0.1402 -0.7771 7.0598" Properties=species:S:1:pos:R:3 pbc="T T T"
F 2.6367 3.6231 2.8692
F 3.3640 0.3889 5.7616
F 2.1661 5.7190 0.9975
F 1.2495 2.3522 4.9696
F -0.0846 4.9090 -0.3366
F 2.0298 2.9457 0.4554
F 0.6426 1.6748 2.5558
F 1.1132 -0.4211 4.4275
Pr 2.8259 1.3353 3.6217
Pr 0.4534 3.9626 1.8033
V 1.8014 0.0000 -0.4529
```